First-principles (GGA-PBE) data for SmThGe2O8 after structural relaxation, as listed in the Alexandria database.

CIF file:
```
data_SmThGe2O8
_chemical_formula_sum 'Sm2 Th2 Ge4 O16'
_symmetry_space_group_name_H-M 'I -4 m 2'
_symmetry_Int_Tables_number 119
_symmetry_space_group_name_Hall 'I -4 -2'
_cell_length_a 7.252
_cell_length_b 7.252
_cell_length_c 6.631
_cell_angle_alpha 90.00
_cell_angle_beta 90.00
_cell_angle_gamma 90.00
loop_
_atom_site_label
_atom_site_type_symbol
_atom_site_fract_x
_atom_site_fract_y
_atom_site_fract_z
Sm1 Sm 0.000 0.000 0.000
Th1 Th 0.000 0.500 0.250
Ge1 Ge 0.000 0.000 0.500
Ge2 Ge 0.000 0.500 0.750
O1 O 0.000 0.182 0.321
O2 O 0.000 0.319 0.930
```

Values from the calculation:
Mass density (g/cm3): 6.24

First-principles (GGA-PBE) data for Sm3Tl3GeO8 after structural relaxation, as listed in the Alexandria database.

CIF file:
```
data_Sm3Tl3GeO8
_chemical_formula_sum 'Sm9 Tl9 Ge3 O24'
_symmetry_space_group_name_H-M 'R -3 m'
_symmetry_Int_Tables_number 166
_symmetry_space_group_name_Hall '-R 3 2"'
_cell_length_a 6.9338
_cell_length_b 6.9338
_cell_length_c 19.6560
_cell_angle_alpha 90.00
_cell_angle_beta 90.00
_cell_angle_gamma 120.00
loop_
_atom_site_label
_atom_site_type_symbol
_atom_site_fract_x
_atom_site_fract_y
_atom_site_fract_z
Sm1 Sm 0.0000 0.5000 0.0000
Tl1 Tl 0.0000 0.5000 0.5000
Ge1 Ge 0.0000 0.0000 0.0000
O1 O 0.0000 0.0000 0.2761
O2 O 0.0472 0.5236 0.7203
```

Values from the calculation:
Mass density (g/cm3): 7.70

First-principles (GGA-PBE) data for Sm4TlGeO after structural relaxation, as listed in the Alexandria database.

CIF file:
```
data_Sm4TlGeO
_chemical_formula_sum 'Sm16 Tl4 Ge4 O4'
_symmetry_space_group_name_H-M 'C m c m'
_symmetry_Int_Tables_number 63
_symmetry_space_group_name_Hall '-C 2c 2'
_cell_length_a 6.544
_cell_length_b 16.929
_cell_length_c 6.577
_cell_angle_alpha 90.00
_cell_angle_beta 90.00
_cell_angle_gamma 90.00
loop_
_atom_site_label
_atom_site_type_symbol
_atom_site_fract_x
_atom_site_fract_y
_atom_site_fract_z
Sm1 Sm 0.000 0.063 0.250
Sm2 Sm 0.000 0.421 0.250
Sm3 Sm 0.250 0.250 0.000
Tl1 Tl 0.000 0.391 0.750
Ge1 Ge 0.000 0.117 0.750
O1 O 0.000 0.278 0.250
```

Values from the calculation:
Mass density (g/cm3): 8.15

Number 1: uncorrected formation energy -2.488 eV/atom. Number 2: uncorrected formation energy -2.070 eV/atom. Number 3: uncorrected formation energy -1.146 eV/atom.